Entry one
Entry from the Alexandria database: Ho4TePd after structural relaxation (GGA-PBE).

Cell lengths 6.927, 7.037, 8.365 Å; angles 104.82, 114.46, 90.00 degrees
Positions (direct):
Pd 0.500 0.500 0.500
Te 0.821 0.250 0.000
Ho 0.476 0.534 0.812
Te 0.179 0.750 0.000
Ho 0.913 0.355 0.679
Ho 0.234 0.145 0.321
Ho 0.524 0.466 0.188
Ho 0.087 0.645 0.321
Pd 0.000 0.000 0.500
Ho 0.664 0.966 0.188
Ho 0.336 0.034 0.812
Ho 0.766 0.855 0.679

Values from the calculation:
Magnetization ... 0.00 μB per atom
Space-group type ... C2/c, No. 15
Fermi-level density of states ... 0.940 states/eV per atom



Entry two
Entry from the Alexandria database: Ho4TePd after structural relaxation (GGA-PBE).

Cell lengths 3.910, 8.314, 19.563 Å; angles 90.00, 90.00, 90.00 degrees
Positions (direct):
Ho 0.750 0.516 0.569
Ho 0.750 0.355 0.053
Ho 0.250 0.145 0.553
Ho 0.250 0.544 0.717
Ho 0.750 0.956 0.217
Te 0.750 0.744 0.814
Ho 0.250 0.044 0.783
Ho 0.750 0.365 0.846
Ho 0.250 0.645 0.947
Ho 0.250 0.635 0.154
Ho 0.750 0.865 0.654
Te 0.250 0.756 0.314
Ho 0.750 0.456 0.283
Pd 0.750 0.228 0.449
Ho 0.750 0.016 0.931
Ho 0.250 0.484 0.431
Pd 0.750 0.728 0.051
Te 0.250 0.256 0.186
Ho 0.250 0.984 0.069
Te 0.750 0.244 0.686
Pd 0.250 0.772 0.551
Pd 0.250 0.272 0.949
Ho 0.750 0.855 0.447
Ho 0.250 0.135 0.346

Values from the calculation:
Magnetization ... 0.00 μB per atom
Space-group type ... Pnma, No. 62
Fermi-level density of states ... 1.054 states/eV per atom



Which is more stable than every other structure shown? entry two is more stable than every other one.